(1)
A geometry-optimized NpNi4H8Pd structure. Source: the Alexandria database, functional PBE.

Cell and atoms, written as CIF:
```
data_NpNi4H8Pd
_space_group_name_H-M_alt 'R 3 m'
_space_group_IT_number 160
_space_group_name_Hall 'R 3 -2"'
_cell_length_a 4.9751
_cell_length_b 4.9751
_cell_length_c 16.9864
_cell_angle_alpha 90.00
_cell_angle_beta 90.00
_cell_angle_gamma 120.00
loop_
_atom_site_label
_atom_site_type_symbol
_atom_site_fract_x
_atom_site_fract_y
_atom_site_fract_z
_atom_site_occupancy
Np1 Np 0.0000 0.0000 0.0000 1
Ni1 Ni 0.0000 0.0000 0.5979 1
Ni2 Ni 0.0011 0.5005 0.4943 1
H1 H 0.0000 0.0000 0.2142 1
H2 H 0.0000 0.0000 0.7727 1
H3 H 0.0054 0.5027 0.7767 1
H4 H 0.1711 0.3422 0.5517 1
Pd1 Pd 0.0000 0.0000 0.3169 1
```

***

(2)
A geometry-optimized NpNiH4Pd2 structure. Source: the Alexandria database, functional PBE.

Cell and atoms, written as CIF:
```
data_NpNiH4Pd2
_space_group_name_H-M_alt 'I -4 2 m'
_space_group_IT_number 121
_space_group_name_Hall 'I -4 2'
_cell_length_a 5.110
_cell_length_b 5.110
_cell_length_c 6.248
_cell_angle_alpha 90.00
_cell_angle_beta 90.00
_cell_angle_gamma 90.00
loop_
_atom_site_label
_atom_site_type_symbol
_atom_site_fract_x
_atom_site_fract_y
_atom_site_fract_z
_atom_site_occupancy
Np1 Np 0.000 0.000 0.000 1
Ni1 Ni 0.000 0.000 0.500 1
H1 H 0.175 0.175 0.675 1
Pd1 Pd 0.000 0.500 0.250 1
```

***

(3)
A geometry-optimized NpNiH8Pt2 structure. Source: the Alexandria database, functional PBE.

Cell and atoms, written as CIF:
```
data_NpNiH8Pt2
_space_group_name_H-M_alt 'P -3 m 1'
_space_group_IT_number 164
_space_group_name_Hall '-P 3 2"'
_cell_length_a 4.8824
_cell_length_b 4.8824
_cell_length_c 5.8709
_cell_angle_alpha 90.00
_cell_angle_beta 90.00
_cell_angle_gamma 120.00
loop_
_atom_site_label
_atom_site_type_symbol
_atom_site_fract_x
_atom_site_fract_y
_atom_site_fract_z
_atom_site_occupancy
Np1 Np 0.0000 0.0000 0.0000 1
Ni1 Ni 0.0000 0.0000 0.5000 1
H1 H 0.1579 0.3159 0.3391 1
H2 H 0.3333 0.6667 0.8799 1
Pt1 Pt 0.3333 0.6667 0.1567 1
```

***

(4)
A geometry-optimized NpNi2H8Pt structure. Source: the Alexandria database, functional PBE.

Cell and atoms, written as CIF:
```
data_NpNi2H8Pt
_space_group_name_H-M_alt 'R -3'
_space_group_IT_number 148
_space_group_name_Hall '-R 3'
_cell_length_a 4.3572
_cell_length_b 4.3572
_cell_length_c 17.8811
_cell_angle_alpha 90.00
_cell_angle_beta 90.00
_cell_angle_gamma 120.00
loop_
_atom_site_label
_atom_site_type_symbol
_atom_site_fract_x
_atom_site_fract_y
_atom_site_fract_z
_atom_site_occupancy
Np1 Np 0.0000 0.0000 0.0000 1
Ni1 Ni 0.0000 0.0000 0.2381 1
H1 H 0.0000 0.0000 0.3246 1
H2 H 0.0064 0.6339 0.7760 1
Pt1 Pt 0.0000 0.0000 0.5000 1
```

***

(5)
A geometry-optimized Pu2NpNi3H12 structure. Source: the Alexandria database, functional PBE.

Cell and atoms, written as CIF:
```
data_Pu2NpNi3H12
_space_group_name_H-M_alt 'R -3 m'
_space_group_IT_number 166
_space_group_name_Hall '-R 3 2"'
_cell_length_a 6.0935
_cell_length_b 6.0935
_cell_length_c 14.7547
_cell_angle_alpha 90.00
_cell_angle_beta 90.00
_cell_angle_gamma 120.00
loop_
_atom_site_label
_atom_site_type_symbol
_atom_site_fract_x
_atom_site_fract_y
_atom_site_fract_z
_atom_site_occupancy
Pu1 Pu 0.0000 0.0000 0.1039 1
Np1 Np 0.0000 0.0000 0.5000 1
Ni1 Ni 0.0000 0.5000 0.0000 1
H1 H 0.0594 0.5297 0.8893 1
H2 H 0.0702 0.5351 0.3039 1
```

***

(6)
A geometry-optimized Np2Ni3H12Rh structure. Source: the Alexandria database, functional PBE.

Cell and atoms, written as CIF:
```
data_Np2Ni3H12Rh
_space_group_name_H-M_alt 'R -3 m'
_space_group_IT_number 166
_space_group_name_Hall '-R 3 2"'
_cell_length_a 5.7638
_cell_length_b 5.7638
_cell_length_c 14.7350
_cell_angle_alpha 90.00
_cell_angle_beta 90.00
_cell_angle_gamma 120.00
loop_
_atom_site_label
_atom_site_type_symbol
_atom_site_fract_x
_atom_site_fract_y
_atom_site_fract_z
_atom_site_occupancy
Np1 Np 0.0000 0.0000 0.1112 1
Ni1 Ni 0.0000 0.5000 0.0000 1
H1 H 0.0203 0.5101 0.1123 1
H2 H 0.0260 0.5130 0.3461 1
Rh1 Rh 0.0000 0.0000 0.5000 1
```

***

(7)
A geometry-optimized NpNiH6Rh structure. Source: the Alexandria database, functional PBE.

Cell and atoms, written as CIF:
```
data_NpNiH6Rh
_space_group_name_H-M_alt 'P -6 m 2'
_space_group_IT_number 187
_space_group_name_Hall 'P -6 2'
_cell_length_a 4.5439
_cell_length_b 4.5439
_cell_length_c 4.1354
_cell_angle_alpha 90.00
_cell_angle_beta 90.00
_cell_angle_gamma 120.00
loop_
_atom_site_label
_atom_site_type_symbol
_atom_site_fract_x
_atom_site_fract_y
_atom_site_fract_z
_atom_site_occupancy
Np1 Np 0.0000 0.0000 0.0000 1
Ni1 Ni 0.3333 0.6667 0.5000 1
H1 H 0.0129 0.5064 0.2324 1
Rh1 Rh 0.6667 0.3333 0.5000 1
```

***

(8)
A geometry-optimized NpNiH8Rh4 structure. Source: the Alexandria database, functional PBE.

Cell and atoms, written as CIF:
```
data_NpNiH8Rh4
_space_group_name_H-M_alt 'R 3 m'
_space_group_IT_number 160
_space_group_name_Hall 'R 3 -2"'
_cell_length_a 5.7236
_cell_length_b 5.7236
_cell_length_c 13.1895
_cell_angle_alpha 90.00
_cell_angle_beta 90.00
_cell_angle_gamma 120.00
loop_
_atom_site_label
_atom_site_type_symbol
_atom_site_fract_x
_atom_site_fract_y
_atom_site_fract_z
_atom_site_occupancy
Np1 Np 0.0000 0.0000 0.0000 1
Ni1 Ni 0.0000 0.0000 0.6104 1
H1 H 0.0000 0.0000 0.3729 1
H2 H 0.0000 0.0000 0.8318 1
H3 H 0.0981 0.5491 0.3690 1
H4 H 0.1835 0.3669 0.2052 1
Rh1 Rh 0.0000 0.0000 0.1966 1
Rh2 Rh 0.0063 0.5032 0.1140 1
```

***

Raw total energy, record by record: -4.82 -5.46 -4.79 -4.83 -5.66 -5.13 -5.29 -5.43 eV per atom